# 1
The following is a GGA-PBE calculation of an optimized crystal structure of MgInGe, from the Alexandria database.

Its density of states at the Fermi level is 1.45 states/eV per cell. The value obtained for the formation energy is 3.3 kJ per mole of atoms. For the total energy, the calculation gives -8.85 eV per cell.

The space group is P3m1 (No. 156) and the conventional cell measures 5.0834, 5.0834 and 2.9723 Å, with angles of 90.00, 90.00 and 120.00 degrees. The inequivalent atoms are Mg at (0.0000, 0.0000, 0.0000), In at (0.6667, 0.3333, 0.5003) and Ge at (0.3333, 0.6667, 0.4979).


# 2
The following is a GGA-PBE calculation of an optimized crystal structure of PmYSc2Bi4, from the Alexandria database.

Its density of states at the Fermi level is 1.46 states/eV per cell. The value obtained for the formation energy is -75.3 kJ per mole of atoms. For the total energy, the calculation gives -45.65 eV per cell.

The space group is P2/m (No. 10) and the conventional cell measures 7.6127, 4.4058 and 7.6288 Å, with angles of 90.00, 109.52 and 90.00 degrees. The inequivalent atoms are Pm at (0.0000, 0.0000, 0.0000), Y at (0.0000, 0.5000, 0.5000), Sc at (0.5000, 0.0000, 0.5000), Sc at (0.5000, 0.5000, 0.0000), Bi at (0.2674, 0.0000, 0.7529) and Bi at (0.2694, 0.5000, 0.2594).


# 3
The following is a GGA-PBE calculation of an optimized crystal structure of Hf6SnSb3, from the Alexandria database.

Its density of states at the Fermi level is 28.99 states/eV per cell. For the total energy, the calculation gives -315.14 eV per cell.

The space group is Cmc2_1 (No. 36) and the conventional cell measures 9.0274, 14.1289 and 7.4245 Å, with angles of 90.00, 90.00 and 90.00 degrees. The inequivalent atoms are Hf at (0.0000, 0.0401, 0.0000), Hf at (0.0000, 0.2533, 0.7332), Hf at (0.1934, 0.4221, 0.8363), Hf at (0.2203, 0.2185, 0.0210), Sn at (0.0000, 0.1766, 0.3172), Sb at (0.0000, 0.4233, 0.5090) and Sb at (0.2096, 0.0982, 0.7002).


# 4
The following is a GGA-PBE calculation of an optimized crystal structure of Nd3Sm4Tm4, from the Alexandria database.

Its density of states at the Fermi level is 27.75 states/eV per cell. The value obtained for the formation energy is 1.9 kJ per mole of atoms. For the total energy, the calculation gives -101.70 eV per cell.

The space group is Immm (No. 71) and the conventional cell measures 3.6011, 5.0593 and 39.4970 Å, with angles of 90.00, 90.00 and 90.00 degrees. The inequivalent atoms are Nd at (0.0000, 0.0000, 0.0000), Nd at (0.0000, 0.0000, 0.3629), Sm at (0.0000, 0.0000, 0.1832), Sm at (0.0000, 0.0000, 0.4538), Tm at (0.0000, 0.0000, 0.0914) and Tm at (0.0000, 0.0000, 0.2719).


# 5
The following is a GGA-PBE calculation of an optimized crystal structure of RbYAsSe2, from the Alexandria database.

Its density of states at the Fermi level is 4.72 states/eV per cell. For the total energy, the calculation gives -15.90 eV per cell.

The space group is P4/mmm (No. 123) and the conventional cell measures 5.5565, 5.5565 and 5.3243 Å, with angles of 90.00, 90.00 and 90.00 degrees. The inequivalent atoms are Rb at (0.0000, 0.0000, 0.0000), Y at (0.5000, 0.5000, 0.5000), As at (0.0000, 0.0000, 0.5000) and Se at (0.0000, 0.5000, 0.0000).


# 6
The following is a GGA-PBE calculation of an optimized crystal structure of Ba2NpSi3Au12, from the Alexandria database.

Its density of states at the Fermi level is 41.89 states/eV per cell. For the total energy, the calculation gives -222.33 eV per cell.

The space group is R-3m (No. 166, hexagonal axes) and the conventional cell measures 8.8991, 8.8991 and 20.6811 Å, with angles of 90.00, 90.00 and 120.00 degrees. The inequivalent atoms are Ba at (0.0000, 0.0000, 0.1029), Np at (0.0000, 0.0000, 0.5000), Si at (0.0000, 0.5000, 0.0000), Au at (0.0204, 0.5102, 0.8803) and Au at (0.0365, 0.5183, 0.3346).